Here is crystalline KSrTmCl6 at its relaxed geometry from the Alexandria database. Energies are from PBE.

Raw formation energy, eV/atom: -2.3063

Structure (POSCAR):
```
KSrTmCl6
1.0
7.307 0.000 0.000
-3.654 6.328 0.000
0.000 0.000 13.250
K Sr Tm Cl
2 2 2 12
direct
0.000 0.000 0.000
0.000 0.000 0.500
0.333 0.667 0.250
0.667 0.333 0.750
0.333 0.667 0.750
0.667 0.333 0.250
0.030 0.381 0.637
0.030 0.649 0.863
0.351 0.381 0.863
0.351 0.970 0.637
0.381 0.030 0.137
0.381 0.351 0.363
0.619 0.649 0.637
0.619 0.970 0.863
0.649 0.030 0.363
0.649 0.619 0.137
0.970 0.351 0.137
0.970 0.619 0.363
```


Here is crystalline KSrUCl6 at its relaxed geometry from the Alexandria database. Energies are from PBE.

Raw formation energy, eV/atom: -2.0165

Structure (POSCAR):
```
KSrUCl6
1.0
7.486 0.000 0.000
-3.743 6.483 0.000
0.000 0.000 13.295
K Sr U Cl
2 2 2 12
direct
0.000 0.000 0.000
0.000 0.000 0.500
0.333 0.667 0.250
0.667 0.333 0.750
0.333 0.667 0.750
0.667 0.333 0.250
0.015 0.370 0.635
0.015 0.645 0.865
0.355 0.370 0.865
0.355 0.985 0.635
0.370 0.015 0.135
0.370 0.355 0.365
0.630 0.645 0.635
0.630 0.985 0.865
0.645 0.015 0.365
0.645 0.630 0.135
0.985 0.355 0.135
0.985 0.630 0.365
```


Here is crystalline KSrVCl6 at its relaxed geometry from the Alexandria database. Energies are from PBE.

Raw formation energy, eV/atom: -1.7995

Structure (POSCAR):
```
KSrVCl6
1.0
7.048 0.000 0.000
-3.524 6.104 0.000
0.000 0.000 13.092
K Sr V Cl
2 2 2 12
direct
0.000 0.000 0.000
0.000 0.000 0.500
0.333 0.667 0.250
0.667 0.333 0.750
0.333 0.667 0.750
0.667 0.333 0.250
0.053 0.393 0.642
0.053 0.660 0.858
0.340 0.393 0.858
0.340 0.947 0.642
0.393 0.053 0.142
0.393 0.340 0.358
0.607 0.660 0.642
0.607 0.947 0.858
0.660 0.053 0.358
0.660 0.607 0.142
0.947 0.340 0.142
0.947 0.607 0.358
```


Copy entry 2 word for word.
Here is crystalline KSrUCl6 at its relaxed geometry from the Alexandria database. Energies are from PBE.

Raw formation energy, eV/atom: -2.0165

Structure (POSCAR):
```
KSrUCl6
1.0
7.486 0.000 0.000
-3.743 6.483 0.000
0.000 0.000 13.295
K Sr U Cl
2 2 2 12
direct
0.000 0.000 0.000
0.000 0.000 0.500
0.333 0.667 0.250
0.667 0.333 0.750
0.333 0.667 0.750
0.667 0.333 0.250
0.015 0.370 0.635
0.015 0.645 0.865
0.355 0.370 0.865
0.355 0.985 0.635
0.370 0.015 0.135
0.370 0.355 0.365
0.630 0.645 0.635
0.630 0.985 0.865
0.645 0.015 0.365
0.645 0.630 0.135
0.985 0.355 0.135
0.985 0.630 0.365
```